No. 1
Below is a relaxed structure of AlRhCl, with properties calculated at the GGA-PBE level.

Computed properties:
For the distance to the lowest polymorph of the same formula, the calculation gives 0.211 eV per atom. For the density of states at the Fermi level, the calculation gives 0.903 states/eV/f.u. Its density is 5491 kg/m³. As for the raw formation energy: -334 meV per atom. Its space-group type is I4mm (107).

a b c (Å): 5.8838 5.8838 5.8838
angles (deg): 150.26 150.26 42.56
Sites, in units of the cell vectors:
Rh1 0.6409 0.6409 0.0000
Cl1 0.3367 0.3367 0.0000
Al1 0.0225 0.0225 0.0000


No. 2
Below is a relaxed structure of Al2RhCl, with properties calculated at the GGA-PBE level.

Computed properties:
For the distance to the lowest polymorph of the same formula, the calculation gives 0.591 eV per atom. For the density of states at the Fermi level, the calculation gives 1.838 states/eV/f.u. Its density is 4788 kg/m³. As for the raw formation energy: -217 meV per atom. Its space-group type is P4mm (99).

a b c (Å): 2.9712 2.9712 7.5555
angles (deg): 90.00 90.00 90.00
Sites, in units of the cell vectors:
Cl1 0.0000 0.0000 0.4923
Rh1 0.5000 0.5000 0.7912
Al1 0.0000 0.0000 0.9724
Al2 0.5000 0.5000 0.2442


No. 3
Below is a relaxed structure of AlRhCl4, with properties calculated at the GGA-PBE level.

Computed properties:
For the density of states at the Fermi level, the calculation gives 4.102 states/eV/f.u. Its density is 3096 kg/m³. As for the raw formation energy: 853 meV per atom. Its space-group type is F-43m (216).

a b c (Å): 5.9069 5.9069 5.9069
angles (deg): 60.00 60.00 60.00
Last column: magnetic moment on the atom in μB.
Sites, in units of the cell vectors:
Cl1 0.3756 0.8732 0.3756  0.46
Cl2 0.3756 0.3756 0.8732  0.46
Cl3 0.3756 0.3756 0.3756  0.46
Cl4 0.8732 0.3756 0.3756  0.46
Al1 0.0000 0.0000 0.0000  0.00
Rh1 0.7500 0.7500 0.7500  1.70


No. 4
Below is a relaxed structure of Al2RhCl, with properties calculated at the GGA-PBE level.

Computed properties:
For the distance to the lowest polymorph of the same formula, the calculation gives 0.917 eV per atom. For the density of states at the Fermi level, the calculation gives 2.793 states/eV/f.u. Its density is 4815 kg/m³. As for the raw formation energy: 110 meV per atom. Its space-group type is Fm-3m (225).

a b c (Å): 4.5435 4.5435 4.5435
angles (deg): 60.00 60.00 60.00
Sites, in units of the cell vectors:
Cl1 0.0000 0.0000 0.0000
Al1 0.7500 0.7500 0.7500
Al2 0.2500 0.2500 0.2500
Rh1 0.5000 0.5000 0.5000


No. 5
Below is a relaxed structure of AlRhCl, with properties calculated at the GGA-PBE level.

Computed properties:
For the distance to the lowest polymorph of the same formula, the calculation gives 0.457 eV per atom. For the density of states at the Fermi level, the calculation gives 1.155 states/eV/f.u. Its density is 5085 kg/m³. As for the raw formation energy: -88 meV per atom. Its space-group type is F-43m (216).

a b c (Å): 4.2425 4.2425 4.2425
angles (deg): 60.00 60.00 60.00
Sites, in units of the cell vectors:
Rh1 0.7500 0.7500 0.7500
Cl1 0.5000 0.5000 0.5000
Al1 0.0000 0.0000 0.0000


No. 6
Below is a relaxed structure of Al3RhCl, with properties calculated at the GGA-PBE level.

Computed properties:
For the distance to the lowest polymorph of the same formula, the calculation gives 0.000 eV per atom. For the density of states at the Fermi level, the calculation gives 2.834 states/eV/f.u. Its density is 3347 kg/m³. As for the raw formation energy: -451 meV per atom. Its space-group type is Pm-3m (221).

a b c (Å): 4.7741 4.7741 4.7741
angles (deg): 90.00 90.00 90.00
Sites, in units of the cell vectors:
Rh1 0.0000 0.0000 0.0000
Al1 0.0000 0.5000 0.0000
Al2 0.0000 0.0000 0.5000
Al3 0.5000 0.0000 0.0000
Cl1 0.5000 0.5000 0.5000


No. 7
Below is a relaxed structure of Al2RhCl, with properties calculated at the GGA-PBE level.

Computed properties:
For the distance to the lowest polymorph of the same formula, the calculation gives 0.297 eV per atom. For the density of states at the Fermi level, the calculation gives 2.416 states/eV/f.u. Its density is 4849 kg/m³. As for the raw formation energy: -510 meV per atom. Its space-group type is P4/mmm (123).

a b c (Å): 2.9866 2.9862 7.3839
angles (deg): 90.00 90.00 90.00
Sites, in units of the cell vectors:
Rh1 0.5000 0.5000 0.7500
Al1 0.0000 0.0000 0.5434
Al2 0.0000 0.0000 0.9566
Cl1 0.5000 0.5000 0.2500


No. 8
Below is a relaxed structure of Al2RhCl, with properties calculated at the GGA-PBE level.

Computed properties:
For the distance to the lowest polymorph of the same formula, the calculation gives 0.853 eV per atom. For the density of states at the Fermi level, the calculation gives 2.233 states/eV/f.u. Its density is 5006 kg/m³. As for the raw formation energy: 46 meV per atom. Its space-group type is I4/mmm (139).

a b c (Å): 4.7867 4.7867 4.7867
angles (deg): 129.42 129.42 74.34
Sites, in units of the cell vectors:
Rh1 0.7500 0.2500 0.5000
Al1 0.0000 0.0000 0.0000
Al2 0.5000 0.5000 0.0000
Cl1 0.2500 0.7500 0.5000